Record 1
A plane-wave DFT calculation with PBEsol was carried out for a geometry-optimized HgBr2Cl structure.

Calculated values
The value obtained for the formation energy (no corrections) is -0.65 eV per formula unit.

a b c (Å): 10.9585 3.7194 8.3202
angles (deg): 90.00 130.68 90.00
With the nearest neighbours (Å) after each atom.
Space group Cm (No. 8)
Symmetry-distinct sites (fractional):
Hg 0.0000 0.0000 0.0000  2 Cl 2.55
Br 0.2616 0.5000 0.2490  2 Hg 2.87, 3 Br 3.03-3.07
Br 0.4849 0.0000 0.2494  2 Hg 2.87, 3 Br 3.03-3.07
Cl 0.3625 0.0000 0.7227  2 Hg 2.55

---

Record 2
A plane-wave DFT calculation with PBEsol was carried out for a geometry-optimized HgBrCl structure.

Calculated values
The value obtained for the formation energy (no corrections) is -1.45 eV per formula unit.

a b c (Å): 3.9576 3.9576 6.1303
angles (deg): 90.00 90.00 120.00
With the nearest neighbours (Å) after each atom.
Space group P3m1 (No. 156)
Symmetry-distinct sites (fractional):
Hg 0.0000 0.0000 0.0000  3 Cl 2.70, 3 Br 2.79
Br 0.3333 0.6667 0.7393  3 Hg 2.79
Cl 0.6667 0.3333 0.2341  3 Hg 2.70

---

Record 3
A plane-wave DFT calculation with PBEsol was carried out for a geometry-optimized HgBrCl structure.

Calculated values
The value obtained for the formation energy (no corrections) is -1.48 eV per formula unit.

a b c (Å): 4.0120 7.1839 12.6579
angles (deg): 90.00 90.00 90.00
With the nearest neighbours (Å) after each atom.
Space group P2_12_12_1 (No. 19)
Symmetry-distinct sites (fractional):
Hg 0.1264 0.1354 0.3677  1 Cl 2.36, 1 Br 2.47
Br 0.2315 0.2677 0.7716  1 Hg 2.47
Cl 0.0025 0.4749 0.5030  1 Hg 2.36

---

Record 4
A plane-wave DFT calculation with PBEsol was carried out for a geometry-optimized HgBr2Cl structure.

Calculated values
The value obtained for the formation energy (no corrections) is -0.20 eV per formula unit.

a b c (Å): 3.7633 5.1874 10.3494
angles (deg): 90.00 90.00 90.00
With the nearest neighbours (Å) after each atom.
Space group Immm (No. 71)
Symmetry-distinct sites (fractional):
Hg 0.0000 0.0000 0.0000  4 Br 2.71
Br 0.0000 0.5000 0.3112  2 Hg 2.71
Cl 0.0000 0.0000 0.5000  4 Hg 3.20, 4 Br 3.25

---

Record 5
A plane-wave DFT calculation with PBEsol was carried out for a geometry-optimized HgBrCl structure.

Calculated values
The value obtained for the formation energy (no corrections) is -1.50 eV per formula unit.

a b c (Å): 6.2097 4.4075 6.6616
angles (deg): 90.00 100.59 90.00
With the nearest neighbours (Å) after each atom.
Space group P2_1/m (No. 11)
Symmetry-distinct sites (fractional):
Hg 0.0010 0.2500 0.2493  1 Cl 2.38, 1 Br 2.50
Br 0.2649 0.2500 0.5808  1 Hg 2.50
Cl 0.2386 0.7500 0.0743  1 Hg 2.38

---

Record 6
A plane-wave DFT calculation with PBEsol was carried out for a geometry-optimized Hg2BrCl2 structure.

Calculated values
The value obtained for the formation energy (no corrections) is -1.20 eV per formula unit.

a b c (Å): 4.5572 4.5572 11.5156
angles (deg): 90.00 90.00 90.00
With the nearest neighbours (Å) after each atom.
Space group I4/mmm (No. 139)
Symmetry-distinct sites (fractional):
Hg 0.0000 0.0000 0.1165  1 Hg 2.68, 4 Cl 2.75
Br 0.0000 0.0000 0.5000  8 Hg 3.49, 8 Cl 3.67
Cl 0.0000 0.5000 0.2500  4 Hg 2.75

---

Record 7
A plane-wave DFT calculation with PBEsol was carried out for a geometry-optimized Hg11I2BrClO4 structure.

Calculated values
The value obtained for the formation energy (no corrections) is -5.23 eV per formula unit.

a b c (Å): 6.5056 6.9796 10.5109
angles (deg): 100.53 93.70 92.09
With the nearest neighbours (Å) after each atom.
Space group P1 (No. 1)
Symmetry-distinct sites (fractional):
Hg 0.0000 0.0000 0.0000  1 O 2.14
Hg 0.0005 0.4961 0.1790  1 O 2.16
Hg 0.1052 0.5231 0.5337  1 O 2.17
Hg 0.2052 0.7484 0.8553  1 O 2.17
Hg 0.2703 0.7869 0.2117  1 O 2.15
Hg 0.3078 0.2783 0.3843  1 O 2.14
Hg 0.4229 0.3000 0.8532  1 O 2.21
Hg 0.4755 0.1566 0.0620  1 O 2.20
Hg 0.6555 0.6353 0.6940  2 O 2.05
Hg 0.8273 0.1033 0.3196  1 O 2.20
Hg 0.8858 0.9550 0.5253  1 O 2.20
I 0.3940 0.9787 0.5946  5 Hg 3.18-3.35, 1 O 3.49
I 0.9178 0.2885 0.7898  7 Hg 3.27-3.65, 1 O 3.49
Br 0.6423 0.7231 0.0393  5 Hg 3.07-3.36, 1 O 3.29
Cl 0.6831 0.5107 0.3715  4 Hg 2.91-3.13, 1 O 3.23
O 0.3747 0.5301 0.7370  3 Hg 2.05-2.21
O 0.4434 0.0625 0.2484  3 Hg 2.14-2.20
O 0.8527 0.2077 0.1362  3 Hg 2.14-2.20
O 0.9371 0.7423 0.6532  3 Hg 2.05-2.20

---

Record 8
A plane-wave DFT calculation with PBEsol was carried out for a geometry-optimized Hg6S4Br3Cl structure.

Calculated values
The value obtained for the formation energy (no corrections) is -4.70 eV per formula unit.

a b c (Å): 17.9644 9.0637 10.3330
angles (deg): 90.00 116.09 90.00
With the nearest neighbours (Å) after each atom.
Space group C2/m (No. 12)
Symmetry-distinct sites (fractional):
Hg 0.0747 0.0000 0.2219  2 S 2.41
Hg 0.0746 0.2731 0.7974  2 S 2.42
Hg 0.1306 0.2650 0.5033  2 S 2.41
Hg 0.2194 0.0000 0.7897  2 S 2.42
S 0.0686 0.2643 0.2439  3 Hg 2.41-2.42
S 0.1991 0.2638 0.7627  3 Hg 2.41-2.42
Br 0.0000 0.0000 0.5000  10 Hg 3.35-3.71
Br 0.0000 0.5000 0.5000  8 Hg 3.16-3.44
Br 0.1224 0.0000 0.9879  5 Hg 2.90-3.24
Br 0.2470 0.0000 0.5025  6 Hg 3.08-3.22
Cl 0.1216 0.5000 0.9961  3 Hg 2.74-2.76

---

Listing magnetization for the structures above in their given order: 0.0; 0.0; 0.0; 0.0; 0.0; 0.0; 0.0; 0.0 μB/f.u..